# 1
Computed, not measured: an optimized crystal structure of Li2Cd2Ga at the PBE level of DFT.

## Properties
Symmetry: No. 139
Offset from the most stable computed form, kcal/mol of atoms: 4.577

Cell lengths 7.767, 7.767, 7.767 Å; angles 152.17, 152.17, 39.76 degrees
Atoms (fractional coordinates):
Li  0.250  0.750  0.500
Li  0.750  0.250  0.500
Cd  0.104  0.104  0.000
Cd  0.896  0.896  0.000
Ga  0.500  0.500  0.000

***

# 2
Computed, not measured: an optimized crystal structure of Li3Cd4Ga2 at the PBE level of DFT.

## Properties
Symmetry: No. 66
Offset from the most stable computed form, kcal/mol of atoms: 0.000

Cell lengths 8.244, 8.244, 6.049 Å; angles 90.00, 90.00, 120.34 degrees
Atoms (fractional coordinates):
Li  0.000  0.000  0.250
Li  0.000  0.000  0.750
Li  0.330  0.670  0.250
Li  0.330  0.670  0.750
Li  0.670  0.330  0.250
Li  0.670  0.330  0.750
Cd  0.006  0.674  0.000
Cd  0.320  0.335  0.500
Cd  0.326  0.994  0.500
Cd  0.335  0.320  0.000
Cd  0.665  0.680  0.000
Cd  0.674  0.006  0.500
Cd  0.680  0.665  0.500
Cd  0.994  0.326  0.000
Ga  0.004  0.657  0.500
Ga  0.343  0.996  0.000
Ga  0.657  0.004  0.000
Ga  0.996  0.343  0.500

***

# 3
Computed, not measured: an optimized crystal structure of Li3Cd2Ga2 at the PBE level of DFT.

## Properties
Symmetry: No. 12
Offset from the most stable computed form, kcal/mol of atoms: 1.498

Cell lengths 4.870, 4.870, 6.840 Å; angles 102.48, 102.48, 53.21 degrees
Atoms (fractional coordinates):
Li  0.000  0.000  0.000
Li  0.295  0.295  0.845
Li  0.705  0.705  0.155
Cd  0.131  0.131  0.406
Cd  0.869  0.869  0.594
Ga  0.412  0.412  0.266
Ga  0.588  0.588  0.734

***

# 4
Computed, not measured: an optimized crystal structure of Li2Cd2Ga at the PBE level of DFT.

## Properties
Symmetry: No. 127
Offset from the most stable computed form, kcal/mol of atoms: 2.511

Cell lengths 7.593, 7.593, 3.252 Å; angles 90.00, 90.00, 90.00 degrees
Atoms (fractional coordinates):
Li  0.143  0.357  0.000
Li  0.357  0.857  0.000
Li  0.643  0.143  0.000
Li  0.857  0.643  0.000
Cd  0.153  0.653  0.500
Cd  0.347  0.153  0.500
Cd  0.653  0.847  0.500
Cd  0.847  0.347  0.500
Ga  0.000  0.000  0.000
Ga  0.500  0.500  0.000

***

# 5
Computed, not measured: an optimized crystal structure of Li2Cd5Ga2 at the PBE level of DFT.

## Properties
Symmetry: No. 9
Offset from the most stable computed form, kcal/mol of atoms: 0.000

Cell lengths 8.096, 8.096, 6.141 Å; angles 97.10, 97.10, 65.03 degrees
Atoms (fractional coordinates):
Li  0.148  0.484  0.104
Li  0.166  0.834  0.500
Li  0.484  0.148  0.604
Li  0.834  0.166  0.000
Cd  0.157  0.161  0.804
Cd  0.160  0.493  0.607
Cd  0.161  0.157  0.304
Cd  0.181  0.806  0.005
Cd  0.493  0.160  0.107
Cd  0.496  0.816  0.798
Cd  0.806  0.181  0.505
Cd  0.816  0.496  0.298
Cd  0.837  0.842  0.709
Cd  0.842  0.837  0.209
Ga  0.459  0.498  0.375
Ga  0.491  0.826  0.323
Ga  0.498  0.459  0.875
Ga  0.826  0.491  0.823

***

# 6
Computed, not measured: an optimized crystal structure of Li4Cd5Ga2 at the PBE level of DFT.

## Properties
Symmetry: No. 10
Offset from the most stable computed form, kcal/mol of atoms: 0.000

Cell lengths 7.402, 3.089, 9.224 Å; angles 90.00, 96.01, 90.00 degrees
Atoms (fractional coordinates):
Li  0.188  0.000  0.367
Li  0.248  0.000  0.928
Li  0.752  0.000  0.072
Li  0.812  0.000  0.633
Cd  0.160  0.500  0.642
Cd  0.455  0.500  0.172
Cd  0.500  0.500  0.500
Cd  0.545  0.500  0.828
Cd  0.840  0.500  0.358
Ga  0.072  0.500  0.131
Ga  0.928  0.500  0.869

***

# 7
Computed, not measured: an optimized crystal structure of LiCd5Ga at the PBE level of DFT.

## Properties
Symmetry: No. 15

Cell lengths 5.976, 5.976, 10.454 Å; angles 110.80, 110.80, 73.17 degrees
Atoms (fractional coordinates):
Li  0.071  0.929  0.750
Li  0.929  0.071  0.250
Cd  0.152  0.405  0.749
Cd  0.239  0.547  0.510
Cd  0.329  0.671  0.250
Cd  0.405  0.152  0.249
Cd  0.453  0.761  0.990
Cd  0.547  0.239  0.010
Cd  0.595  0.848  0.751
Cd  0.671  0.329  0.750
Cd  0.761  0.453  0.490
Cd  0.848  0.595  0.251
Ga  0.000  0.500  0.000
Ga  0.500  0.000  0.500

***

# 8
Computed, not measured: an optimized crystal structure of LiCdGa2 at the PBE level of DFT.

## Properties
Symmetry: No. 12

Cell lengths 4.249, 4.249, 8.644 Å; angles 103.94, 103.94, 89.94 degrees
Atoms (fractional coordinates):
Li  0.117  0.117  0.236
Li  0.883  0.883  0.764
Cd  0.250  0.750  0.500
Cd  0.750  0.250  0.500
Ga  0.000  0.500  0.000
Ga  0.378  0.378  0.756
Ga  0.500  0.000  0.000
Ga  0.622  0.622  0.244

***

# 9
Computed, not measured: an optimized crystal structure of LiCdGa2 at the PBE level of DFT.

## Properties
Symmetry: No. 160

Cell lengths 9.417, 9.417, 9.417 Å; angles 18.68, 18.68, 18.68 degrees
Atoms (fractional coordinates):
Li  0.000  0.000  0.000
Cd  0.166  0.166  0.166
Ga  0.411  0.411  0.411
Ga  0.588  0.588  0.588

***

# 10
Computed, not measured: an optimized crystal structure of Li4Cd3Ga5 at the PBE level of DFT.

## Properties
Symmetry: No. 12

Cell lengths 6.899, 6.899, 8.434 Å; angles 115.35, 115.35, 43.53 degrees
Atoms (fractional coordinates):
Li  0.087  0.087  0.437
Li  0.180  0.180  0.860
Li  0.820  0.820  0.140
Li  0.913  0.913  0.563
Cd  0.240  0.240  0.252
Cd  0.500  0.500  0.000
Cd  0.760  0.760  0.748
Ga  0.000  0.000  0.000
Ga  0.319  0.319  0.643
Ga  0.467  0.467  0.326
Ga  0.533  0.533  0.674
Ga  0.681  0.681  0.357

***

# 11
Computed, not measured: an optimized crystal structure of Li4Cd3Ga2 at the PBE level of DFT.

## Properties
Symmetry: No. 12

Cell lengths 5.117, 5.117, 8.633 Å; angles 107.67, 107.67, 49.73 degrees
Atoms (fractional coordinates):
Li  0.005  0.005  0.329
Li  0.339  0.339  0.112
Li  0.661  0.661  0.888
Li  0.995  0.995  0.671
Cd  0.000  0.000  0.000
Cd  0.335  0.335  0.444
Cd  0.665  0.665  0.556
Ga  0.318  0.318  0.781
Ga  0.682  0.682  0.219

***

# 12
Computed, not measured: an optimized crystal structure of Li4Cd5Ga3 at the PBE level of DFT.

## Properties
Symmetry: No. 12

Cell lengths 5.767, 5.767, 10.479 Å; angles 115.49, 115.49, 52.05 degrees
Atoms (fractional coordinates):
Li  0.147  0.147  0.034
Li  0.293  0.293  0.578
Li  0.707  0.707  0.422
Li  0.853  0.853  0.966
Cd  0.000  0.000  0.500
Cd  0.224  0.224  0.813
Cd  0.460  0.460  0.133
Cd  0.540  0.540  0.867
Cd  0.776  0.776  0.187
Ga  0.102  0.102  0.278
Ga  0.500  0.500  0.500
Ga  0.898  0.898  0.722

***

# 13
Computed, not measured: an optimized crystal structure of Li4CdGa3 at the PBE level of DFT.

## Properties
Symmetry: No. 51

Cell lengths 9.114, 5.928, 4.871 Å; angles 90.00, 90.00, 90.00 degrees
Atoms (fractional coordinates):
Li  0.000  0.239  0.000
Li  0.000  0.761  0.000
Li  0.250  0.238  0.346
Li  0.250  0.762  0.346
Li  0.500  0.239  0.000
Li  0.500  0.761  0.000
Li  0.750  0.238  0.654
Li  0.750  0.762  0.654
Cd  0.000  0.500  0.500
Cd  0.500  0.500  0.500
Ga  0.000  0.000  0.500
Ga  0.250  0.000  0.841
Ga  0.250  0.500  0.868
Ga  0.500  0.000  0.500
Ga  0.750  0.000  0.159
Ga  0.750  0.500  0.132

***

# 14
Computed, not measured: an optimized crystal structure of Li3CdGa at the PBE level of DFT.

## Properties
Symmetry: No. 221
Offset from the most stable computed form, kcal/mol of atoms: 9.081

Cell lengths 4.832, 4.832, 4.832 Å; angles 90.00, 90.00, 90.00 degrees
Atoms (fractional coordinates):
Li  0.000  0.000  0.500
Li  0.000  0.500  0.000
Li  0.500  0.000  0.000
Cd  0.500  0.500  0.500
Ga  0.000  0.000  0.000

***

# 15
Computed, not measured: an optimized crystal structure of Li2CdGa at the PBE level of DFT.

## Properties
Symmetry: No. 71

Cell lengths 6.124, 6.124, 6.124 Å; angles 151.17, 130.96, 57.89 degrees
Atoms (fractional coordinates):
Li  0.242  0.242  0.000
Li  0.758  0.758  0.000
Cd  0.500  0.500  0.000
Ga  0.000  0.000  0.000

***

# 16
Computed, not measured: an optimized crystal structure of LiCdGa4 at the PBE level of DFT.

## Properties
Symmetry: No. 216

Cell lengths 5.507, 5.507, 5.507 Å; angles 60.00, 60.00, 60.00 degrees
Atoms (fractional coordinates):
Li  0.000  0.000  0.000
Cd  0.250  0.250  0.250
Ga  0.124  0.625  0.625
Ga  0.625  0.124  0.625
Ga  0.625  0.625  0.124
Ga  0.625  0.625  0.625

***

# 17
Computed, not measured: an optimized crystal structure of Li2Cd8Ga at the PBE level of DFT.

## Properties
Symmetry: No. 12
Offset from the most stable computed form, kcal/mol of atoms: 1.106

Cell lengths 7.671, 7.671, 5.289 Å; angles 102.78, 102.78, 120.59 degrees
Atoms (fractional coordinates):
Li  0.199  0.801  0.000
Li  0.801  0.199  0.000
Cd  0.097  0.097  0.296
Cd  0.169  0.402  0.848
Cd  0.282  0.718  0.500
Cd  0.402  0.169  0.848
Cd  0.598  0.831  0.152
Cd  0.718  0.282  0.500
Cd  0.831  0.598  0.152
Cd  0.903  0.903  0.704
Ga  0.500  0.500  0.500

***

# 18
Computed, not measured: an optimized crystal structure of Li4Cd7Ga at the PBE level of DFT.

## Properties
Symmetry: No. 12

Cell lengths 5.826, 5.826, 11.002 Å; angles 113.29, 113.29, 52.58 degrees
Atoms (fractional coordinates):
Li  0.089  0.089  0.304
Li  0.361  0.361  0.226
Li  0.639  0.639  0.774
Li  0.911  0.911  0.696
Cd  0.000  0.000  0.000
Cd  0.159  0.159  0.627
Cd  0.213  0.213  0.907
Cd  0.374  0.374  0.526
Cd  0.626  0.626  0.474
Cd  0.787  0.787  0.093
Cd  0.841  0.841  0.373
Ga  0.500  0.500  0.000

***

# 19
Computed, not measured: an optimized crystal structure of Li5CdGa at the PBE level of DFT.

## Properties
Symmetry: No. 123
Offset from the most stable computed form, kcal/mol of atoms: 0.448

Cell lengths 4.131, 4.131, 7.762 Å; angles 90.00, 90.00, 90.00 degrees
Atoms (fractional coordinates):
Li  0.000  0.000  0.000
Li  0.000  0.500  0.247
Li  0.000  0.500  0.753
Li  0.500  0.000  0.247
Li  0.500  0.000  0.753
Cd  0.000  0.000  0.500
Ga  0.500  0.500  0.000

***

# 20
Computed, not measured: an optimized crystal structure of Li4Cd5Ga2 at the PBE level of DFT.

## Properties
Symmetry: No. 2
Offset from the most stable computed form, kcal/mol of atoms: 0.394

Cell lengths 4.757, 5.389, 8.260 Å; angles 92.83, 104.34, 91.06 degrees
Atoms (fractional coordinates):
Li  0.051  0.288  0.096
Li  0.320  0.896  0.643
Li  0.680  0.104  0.357
Li  0.949  0.712  0.904
Cd  0.136  0.830  0.268
Cd  0.230  0.343  0.459
Cd  0.500  0.000  0.000
Cd  0.770  0.657  0.541
Cd  0.864  0.170  0.732
Ga  0.410  0.459  0.828
Ga  0.590  0.541  0.172

***

Density of states at the Fermi level: 1.699, 2.657, 1.435, 3.903, 6.523, 3.053, 4.228, 2.193, 1.334, 3.174, 2.113, 2.995, 2.116, 3.565, 1.882, 0.650, 2.796, 3.842, 2.428, 3.702 (states/eV per cell)
ΔE_f: -0.10, -1.72, -1.31, -0.55, -1.01, -2.28, 0.16, -0.60, -0.34, -0.74, -1.97, -0.82, -2.15, 0.66, 0.22, -0.42, -0.41, -0.71, -0.77, -2.10 (eV per formula unit)
E_tot: -1.7570, -1.9082, -2.1340, -1.8466, -1.7187, -1.8699, -1.3365, -2.3709, -2.3055, -2.1894, -2.0473, -1.8443, -2.4757, -1.8052, -1.8876, -2.5589, -1.3262, -1.4833, -2.0395, -1.8528 (eV per atom)